Rb2CdFeF6 (PBE with a Hubbard U, relaxed); total DFT energy (no corrections) = -44.0 eV/cell; DOS at the Fermi energy = 0.0012 states/eV per atom; space group = I4/mmm (139)
1.0
-3.0999 0.6718 5.2761
-2.8498 -5.3660 -0.9912
0.2230 -4.4418 4.2881
F Fe Rb Cd
6 1 2 1
direct
0.2569 0.2569 0.4862
0.7431 0.7431 0.5138
0.2604 0.2604 0.0000
0.7396 0.7396 0.0000
0.7396 0.2604 0.0000
0.2604 0.7396 0.0000
0.5000 0.5000 0.0000
0.7500 0.2500 0.5000
0.2500 0.7500 0.5000
0.0000 0.0000 0.0000